Entry 1:
The following is a PBE-GGA calculation of crystalline TlCuW2 at its relaxed geometry, from Alexandria.

Cell: 2.7945 4.2553 5.7025 Å, 90.00 90.00 90.00°
Sites, in units of the cell vectors:
Cu 0.5000 0.5000 0.2500
Tl 0.5000 0.5000 0.7500
W 0.0000 0.0000 0.0315
W 0.0000 0.0000 0.4685

Computed properties:
As for the energy relative to the elements: 3.2 eV/f.u. The calculation puts the energy above the most stable polymorph in this dataset at 258 meV per atom.



Entry 2:
The following is a PBE-GGA calculation of crystalline La3Nd3Ho4 at its relaxed geometry, from Alexandria.

Cell: 3.6697 9.7808 9.7808 Å, 90.01 90.00 90.00°
Sites, in units of the cell vectors:
La 0.0000 0.5021 0.0006
La 0.0000 0.9994 0.4979
La 0.5000 0.1751 0.8249
Nd 0.5000 0.8248 0.1752
Nd 0.5000 0.3259 0.3251
Nd 0.5000 0.6749 0.6741
Ho 0.0000 0.6216 0.3784
Ho 0.0000 0.3797 0.6203
Ho 0.0000 0.8764 0.8800
Ho 0.0000 0.1200 0.1236

Computed properties:
As for the energy relative to the elements: 0.9 eV/f.u.



Entry 3:
The following is a PBE-GGA calculation of crystalline SrOsAu3 at its relaxed geometry, from Alexandria.

Cell: 5.6147 5.6147 5.6147 Å, 90.00 90.00 90.00°
Sites, in units of the cell vectors:
Os 0.5000 0.5000 0.5000
Au 0.0000 0.5000 0.0000
Au 0.0000 0.0000 0.5000
Au 0.5000 0.0000 0.0000
Sr 0.0000 0.0000 0.0000

Computed properties:
As for the energy relative to the elements: 9.2 eV/f.u. The calculation puts the energy above the most stable polymorph in this dataset at 1574 meV per atom.



Entry 4:
The following is a PBE-GGA calculation of crystalline La2AlGaNi6 at its relaxed geometry, from Alexandria.

Cell: 5.3856 7.7811 5.3902 Å, 69.73 59.96 89.98°
Sites, in units of the cell vectors:
La 0.2395 0.7191 0.5209
La 0.7605 0.2809 0.4791
Al 0.5000 0.5000 0.0000
Ga 0.0000 0.0000 0.0000
Ni 0.2649 0.7598 0.9878
Ni 0.7467 0.7606 0.9868
Ni 0.2532 0.2397 0.4942
Ni 0.7351 0.2402 0.0122
Ni 0.2533 0.2394 0.0132
Ni 0.7468 0.7603 0.5058

Computed properties:
As for the energy relative to the elements: -2.3 eV/f.u.



Entry 5:
The following is a PBE-GGA calculation of crystalline Sr4ZrPa3N8 at its relaxed geometry, from Alexandria.

Cell: 7.1156 7.2584 7.1159 Å, 119.35 120.00 90.00°
Sites, in units of the cell vectors:
Sr 0.5000 0.0000 0.0000
Sr 0.5000 0.0000 0.5000
Sr 0.0000 0.0000 0.0000
Sr 0.0000 0.0000 0.5000
Zr 0.0000 0.5000 0.0000
Pa 0.5000 0.5000 0.0000
Pa 0.5000 0.5000 0.5000
Pa 0.0000 0.5000 0.5000
N 0.2319 0.6949 0.9631
N 0.2319 0.6949 0.4637
N 0.2681 0.3043 0.5362
N 0.7312 0.6949 0.9631
N 0.2688 0.3051 0.0369
N 0.7319 0.6957 0.4638
N 0.7681 0.3051 0.5363
N 0.7681 0.3051 0.0369

Computed properties:
As for the uncorrected formation energy: -21.62 eV/f.u.



Entry 6:
The following is a PBE-GGA calculation of crystalline Re3Pb at its relaxed geometry, from Alexandria.

Cell: 2.8798 3.8326 6.7272 Å, 90.00 90.00 90.00°
Sites, in units of the cell vectors:
Pb 0.0000 0.0000 0.0000
Re 0.5000 0.5000 0.6855
Re 0.0000 0.0000 0.5000
Re 0.5000 0.5000 0.3145

Computed properties:
As for the energy relative to the elements: 3.0 eV/f.u. The calculation puts the energy above the most stable polymorph in this dataset at 132 meV per atom.



Entry 7:
The following is a PBE-GGA calculation of crystalline Tc2IrSe at its relaxed geometry, from Alexandria.

Cell: 5.2214 5.2214 4.4461 Å, 64.77 64.77 33.27°
Sites, in units of the cell vectors:
Ir 0.2500 0.2500 0.2500
Se 0.7500 0.7500 0.7500
Tc 0.0304 0.0304 0.9694
Tc 0.4696 0.4696 0.5306

Computed properties:
As for the uncorrected formation energy: 1.17 eV/f.u.



Entry 8:
The following is a PBE-GGA calculation of crystalline PmYAgPt at its relaxed geometry, from Alexandria.

Cell: 5.0975 5.0975 5.0975 Å, 60.00 60.00 60.00°
Sites, in units of the cell vectors:
Y 0.5000 0.5000 0.5000
Ag 0.7500 0.7500 0.7500
Pt 0.2500 0.2500 0.2500
Pm 0.0000 0.0000 0.0000

Computed properties:
As for the energy relative to the elements: -2.9 eV/f.u.



Entry 9:
The following is a PBE-GGA calculation of crystalline TbNi5P2 at its relaxed geometry, from Alexandria.

Cell: 3.6874 5.7573 5.7573 Å, 68.29 71.32 71.32°
Sites, in units of the cell vectors:
Tb 0.0000 0.0000 0.0000
Ni 0.0000 0.5000 0.5000
Ni 0.6535 0.5359 0.1571
Ni 0.3465 0.4641 0.8429
Ni 0.3465 0.8429 0.4641
Ni 0.6535 0.1571 0.5359
P 0.7535 0.7465 0.7465
P 0.2465 0.2535 0.2535

Computed properties:
As for the energy relative to the elements: -5.8 eV/f.u.



Entry 10:
The following is a PBE-GGA calculation of crystalline SmGdAgBi at its relaxed geometry, from Alexandria.

Cell: 5.3866 5.3866 5.3866 Å, 60.00 60.00 60.00°
Sites, in units of the cell vectors:
Ag 0.2500 0.2500 0.2500
Gd 0.5000 0.5000 0.5000
Bi 0.7500 0.7500 0.7500
Sm 0.0000 0.0000 0.0000

Computed properties:
As for the energy relative to the elements: -1.9 eV/f.u.



Entry 11:
The following is a PBE-GGA calculation of crystalline TmP4Ru4 at its relaxed geometry, from Alexandria.

Cell: 5.9856 5.9856 7.5993 Å, 90.00 90.00 90.00°
Sites, in units of the cell vectors:
Tm 0.0000 0.0000 0.0000
Tm 0.5000 0.5000 0.5000
P 0.5000 0.7843 0.8142
P 0.5000 0.2157 0.8142
P 0.7843 0.5000 0.1858
P 0.2157 0.5000 0.1858
P 0.2843 0.0000 0.3142
P 0.7157 0.0000 0.3142
P 0.0000 0.2843 0.6858
P 0.0000 0.7157 0.6858
Ru 0.2275 0.5000 0.8801
Ru 0.7725 0.5000 0.8801
Ru 0.5000 0.7725 0.1199
Ru 0.5000 0.2275 0.1199
Ru 0.0000 0.7275 0.3801
Ru 0.0000 0.2725 0.3801
Ru 0.2725 0.0000 0.6199
Ru 0.7275 0.0000 0.6199

Computed properties:
As for the energy relative to the elements: -5.4 eV/f.u.



Entry 12:
The following is a PBE-GGA calculation of crystalline Tm6Tl2Pd at its relaxed geometry, from Alexandria.

Cell: 3.7558 8.6432 8.6389 Å, 120.02 90.00 90.00°
Sites, in units of the cell vectors:
Tm 0.5000 0.6067 0.0000
Tm 0.5000 0.3932 0.3935
Tm 0.5000 0.9997 0.6065
Tm 0.0000 0.2483 0.0000
Tm 0.0000 0.7522 0.7523
Tm 0.0000 0.9999 0.2477
Tl 0.0000 0.3331 0.6666
Tl 0.0000 0.6664 0.3334
Pd 0.5000 0.0006 0.0000

Computed properties:
As for the energy relative to the elements: -3.4 eV/f.u. The calculation puts the energy above the most stable polymorph in this dataset at 0 meV per atom.



Entry 13:
The following is a PBE-GGA calculation of crystalline TeIr2Se at its relaxed geometry, from Alexandria.

Cell: 4.1405 4.3217 4.3211 Å, 81.27 90.00 90.00°
Sites, in units of the cell vectors:
Ir 0.0000 0.0362 0.0362
Ir 0.0000 0.4638 0.4638
Se 0.5000 0.2500 0.2500
Te 0.5000 0.7500 0.7500

Computed properties:
The calculation puts the energy above the most stable polymorph in this dataset at 429 meV per atom. As for the uncorrected formation energy: 1.80 eV/f.u.



Entry 14:
The following is a PBE-GGA calculation of crystalline NbCrN2 at its relaxed geometry, from Alexandria.

Cell: 3.0374 3.0374 9.2211 Å, 90.00 90.00 90.00°
Sites, in units of the cell vectors:
Nb 0.0000 0.5000 0.6704
Nb 0.5000 0.0000 0.3296
Cr 0.0000 0.5000 0.0533
Cr 0.5000 0.0000 0.9467
N 0.0000 0.5000 0.2544
N 0.5000 0.0000 0.7456
N 0.0000 0.0000 0.5000
N 0.5000 0.5000 0.5000

Computed properties:
As for the uncorrected formation energy: -0.62 eV/f.u.



Entry 15:
The following is a PBE-GGA calculation of crystalline Tb4MgZn2 at its relaxed geometry, from Alexandria.

Cell: 5.1011 5.1011 8.5852 Å, 72.72 72.72 60.00°
Sites, in units of the cell vectors:
Tb 0.8663 0.8663 0.4012
Tb 0.1337 0.1337 0.5988
Tb 0.6119 0.6119 0.1644
Tb 0.3881 0.3881 0.8356
Mg 0.0000 0.0000 0.0000
Zn 0.7404 0.7404 0.7789
Zn 0.2596 0.2596 0.2211

Computed properties:
As for the energy relative to the elements: -0.8 eV/f.u. The calculation puts the energy above the most stable polymorph in this dataset at 0 meV per atom.



Entry 16:
The following is a PBE-GGA calculation of crystalline LiLaTlCd2 at its relaxed geometry, from Alexandria.

Cell: 4.9632 4.9632 5.0849 Å, 90.00 90.00 90.00°
Sites, in units of the cell vectors:
Tl 0.0000 0.0000 0.5000
Cd 0.0000 0.5000 0.0000
Cd 0.5000 0.0000 0.0000
Li 0.0000 0.0000 0.0000
La 0.5000 0.5000 0.5000

Computed properties:
As for the energy relative to the elements: -0.9 eV/f.u.



Entry 17:
The following is a PBE-GGA calculation of crystalline Np2As2S7 at its relaxed geometry, from Alexandria.

Cell: 7.6353 6.7927 6.7927 Å, 108.87 91.38 91.38°
Sites, in units of the cell vectors:
Np 0.0000 0.3239 0.6761
Np 0.0000 0.6761 0.3239
As 0.3590 0.2490 0.2490
As 0.6410 0.7510 0.7510
S 0.8212 0.9580 0.6180
S 0.1788 0.3820 0.0420
S 0.1788 0.0420 0.3820
S 0.8212 0.6180 0.9580
S 0.5000 0.0000 0.0000
S 0.2161 0.5785 0.5785
S 0.7839 0.4215 0.4215

Computed properties:
As for the uncorrected formation energy: -6.33 eV/f.u.



Entry 18:
The following is a PBE-GGA calculation of crystalline PrPaFeN3 at its relaxed geometry, from Alexandria.

Cell: 3.4307 7.2955 7.3832 Å, 101.60 90.00 90.00°
Sites, in units of the cell vectors:
Pr 0.7500 0.8290 0.7912
Pr 0.2500 0.1710 0.2088
Pa 0.2500 0.6631 0.1796
Pa 0.7500 0.3369 0.8204
Fe 0.2500 0.0920 0.5753
Fe 0.7500 0.9080 0.4247
N 0.2500 0.8278 0.5276
N 0.7500 0.8697 0.1422
N 0.7500 0.4377 0.1371
N 0.7500 0.1722 0.4724
N 0.2500 0.5623 0.8629
N 0.2500 0.1303 0.8578

Computed properties:
As for the uncorrected formation energy: -6.51 eV/f.u.



Entry 19:
The following is a PBE-GGA calculation of crystalline LaCdGePt2 at its relaxed geometry, from Alexandria.

Cell: 4.2456 5.6191 9.4097 Å, 90.00 106.72 90.00°
Sites, in units of the cell vectors:
La 0.5341 0.0000 0.5294
La 0.5341 0.5000 0.0294
Cd 0.8457 0.0000 0.9095
Cd 0.8457 0.5000 0.4095
Ge 0.6968 0.0000 0.1987
Ge 0.6968 0.5000 0.6987
Pt 0.2083 0.2550 0.2354
Pt 0.2083 0.7450 0.2354
Pt 0.2083 0.7550 0.7354
Pt 0.2083 0.2450 0.7354

Computed properties:
As for the energy relative to the elements: -3.6 eV/f.u. The calculation puts the energy above the most stable polymorph in this dataset at 55 meV per atom.



Entry 20:
The following is a PBE-GGA calculation of crystalline Pr2DyErTm at its relaxed geometry, from Alexandria.

Cell: 7.3265 8.4761 7.1361 Å, 126.43 90.00 90.00°
Sites, in units of the cell vectors:
Pr 0.5000 0.3045 0.0000
Pr 0.0000 0.6955 0.0000
Pr 0.5000 0.6955 0.0000
Pr 0.0000 0.3045 0.0000
Dy 0.7500 0.7307 0.4613
Dy 0.2500 0.2693 0.5387
Er 0.2500 0.7240 0.4481
Er 0.7500 0.2760 0.5519
Tm 0.2500 0.9954 0.9909
Tm 0.7500 0.0046 0.0091

Computed properties:
As for the energy relative to the elements: 2.1 eV/f.u.



| no. | volume (Å³ per atom) |
| --- | --- |
| 1 | 16.95 |
| 2 | 35.11 |
| 3 | 35.40 |
| 4 | 17.92 |
| 5 | 16.40 |
| 6 | 18.56 |
| 7 | 14.89 |
| 8 | 23.41 |
| 9 | 13.09 |
| 10 | 27.63 |
| 11 | 15.13 |
| 12 | 26.98 |
| 13 | 19.11 |
| 14 | 10.63 |
| 15 | 25.96 |
| 16 | 25.05 |
| 17 | 30.28 |
| 18 | 15.08 |
| 19 | 21.50 |
| 20 | 35.65 |